No. 1
YFe2Si meta-GGA SCAN single point on PBEsol structure; total magnetic moment = 3.07 μB/f.u.; formation energy (no corrections) = -338.7 meV per atom; DOS at the Fermi energy = 0.69 states/eV per atom
1.0
3.861 0.000 0.000
1.930 3.343 0.000
1.930 1.114 4.925
Y Si Fe
1 1 2
Direct
0.253 0.253 0.242
0.454 0.454 0.638
0.054 0.054 0.839
0.739 0.739 0.782

No. 2
Sr2CdSi meta-GGA SCAN single point on PBEsol structure; total magnetic moment = 0.00 μB/f.u.; formation energy (no corrections) = -305.9 meV per atom; DOS at the Fermi energy = 0.37 states/eV per atom
1.0
3.901 0.000 0.000
0.000 5.411 0.000
0.000 0.000 5.411
Cd Si Sr
1 1 2
Direct
0.500 0.500 0.500
0.500 0.000 0.000
0.000 0.000 0.500
0.000 0.500 0.000

No. 3
LiCa2Te meta-GGA SCAN single point on PBEsol structure; total magnetic moment = 0.53 μB/f.u.; formation energy (no corrections) = -822.2 meV per atom; DOS at the Fermi energy = 0.54 states/eV per atom
1.0
-2.383 -2.918 2.188
0.533 -2.851 -3.221
4.748 -0.662 4.287
Ca Te Li
2 1 1
Direct
0.000 0.974 0.949
0.500 0.274 0.548
0.500 0.555 0.111
0.000 0.694 0.389

No. 4
HoAs meta-GGA SCAN single point on PBEsol structure; calculated formation energy = -1.698 eV per atom; total magnetic moment = 0.00 μB/f.u.; DOS at the Fermi energy = 0.09 states/eV per atom
1.0
4.039 0.000 0.000
2.019 3.498 0.000
2.019 1.166 3.298
As Ho
1 1
Direct
0.000 0.000 0.000
0.500 0.500 0.500

No. 5
Ba2NiPb meta-GGA SCAN single point on PBEsol structure; calculated formation energy = -0.015 eV per atom; total magnetic moment = 0.00 μB/f.u.; DOS at the Fermi energy = 0.33 states/eV per atom
1.0
4.195 0.000 0.000
2.098 3.633 0.000
2.098 1.211 9.161
Ba Ni Pb
2 1 1
Direct
0.234 0.234 0.298
0.766 0.766 0.702
0.500 0.500 0.500
0.000 0.000 0.000

No. 6
ScAl2Ru meta-GGA SCAN single point on PBEsol structure; calculated formation energy = -0.431 eV per atom; total magnetic moment = 0.00 μB/f.u.; DOS at the Fermi energy = 0.67 states/eV per atom
1.0
-2.782 -1.252 0.587
-0.462 -1.051 -4.431
2.034 -3.598 1.966
Sc Ru Al
1 1 2
Direct
0.500 0.500 0.500
0.500 0.000 0.000
0.000 0.500 0.000
0.000 0.000 0.500

No. 7
LiNiIr2 meta-GGA SCAN single point on PBEsol structure; calculated formation energy = -0.137 eV per atom; total magnetic moment = 1.64 μB/f.u.; distance to the lowest polymorph of the same formula = 0 meV/atom; DOS at the Fermi energy = 0.69 states/eV per atom
1.0
2.645 0.000 0.000
-1.323 4.301 -0.002
0.000 -0.805 4.469
Ni Ir Li
1 2 1
Direct
0.500 0.000 0.000
0.763 0.525 0.755
0.237 0.475 0.245
0.000 0.000 0.500

No. 8
TaTl2OsSe meta-GGA SCAN single point on PBEsol structure; total magnetic moment = 4.07 μB/f.u.; formation energy (no corrections) = 1522.9 meV per atom; DOS at the Fermi energy = 0.80 states/eV per atom
1.0
-4.090 -2.153 1.046
2.167 -4.796 -1.396
1.693 -0.727 5.124
Tl Os Se Ta
2 1 1 1
Direct
0.000 0.000 0.500
0.000 0.500 0.000
0.500 0.500 0.500
0.500 0.000 0.000
0.000 0.000 0.000